1.
MgSbTe2Mo: relaxed, PBE-GGA.

```
MgSbTe2Mo
1.0
5.421 0.000 0.000
0.000 5.421 0.000
0.000 0.000 5.259
Mg Sb Te Mo
1 1 2 1
direct
0.000 0.000 0.000
0.000 0.000 0.500
0.000 0.500 0.000
0.500 0.000 0.000
0.500 0.500 0.500
```

Calculated values
- SG = P4/mmm
- final energy (eV per cell) = -17.8
- energy above the lowest structure with this stoichiometry (eV/atom) = 0.6121
- formation energy from raw total energies (kJ/mol of formula units) = 487

***

2.
MgSb2TeMo: relaxed, PBE-GGA.

```
MgSb2TeMo
1.0
5.246 0.000 0.000
0.000 5.246 0.000
0.000 0.000 5.416
Mg Sb Te Mo
1 2 1 1
direct
0.000 0.000 0.000
0.000 0.500 0.500
0.500 0.000 0.500
0.500 0.500 0.000
0.500 0.500 0.500
```

Calculated values
- SG = P4/mmm
- final energy (eV per cell) = -21.7
- energy above the lowest structure with this stoichiometry (eV/atom) = 0.0000
- formation energy from raw total energies (kJ/mol of formula units) = 209

***

3.
Mg2ScMo: relaxed, PBE-GGA.

```
Mg2ScMo
1.0
2.976 0.000 0.000
-1.488 2.577 0.000
0.000 0.000 31.184
Mg Sc Mo
6 3 3
direct
0.000 0.000 0.243
0.000 0.000 0.757
0.333 0.667 0.424
0.333 0.667 0.910
0.667 0.333 0.090
0.667 0.333 0.576
0.000 0.000 0.000
0.333 0.667 0.667
0.667 0.333 0.333
0.000 0.000 0.500
0.333 0.667 0.167
0.667 0.333 0.833
```

Calculated values
- SG = R-3m
- final energy (eV per cell) = -57.0
- ΔE_f (eV per formula unit) = 1.349
- energy above the lowest structure with this stoichiometry (eV/atom) = 0.2032

***

4.
MgScMo4: relaxed, PBE-GGA.

```
MgScMo4
1.0
0.000 3.786 3.786
3.786 0.000 3.786
3.786 3.786 0.000
Mg Sc Mo
1 1 4
direct
0.000 0.000 0.000
0.250 0.250 0.250
0.124 0.625 0.625
0.625 0.124 0.625
0.625 0.625 0.124
0.625 0.625 0.625
```

Calculated values
- SG = F-43m
- final energy (eV per cell) = -50.2
- ΔE_f (eV per formula unit) = 1.020

***

5.
Mg2ScMo: relaxed, PBE-GGA.

```
Mg2ScMo
1.0
3.027 0.000 0.000
0.000 4.089 0.000
0.000 0.000 6.423
Mg Sc Mo
2 1 1
direct
0.000 0.000 0.000
0.500 0.500 0.255
0.500 0.500 0.714
0.000 0.000 0.501
```

Calculated values
- SG = Pmm2
- final energy (eV per cell) = -19.5
- ΔE_f (eV per formula unit) = 0.852
- energy above the lowest structure with this stoichiometry (eV/atom) = 0.0788

***

6.
Mg2ScMo: relaxed, PBE-GGA.

```
Mg2ScMo
1.0
4.214 0.000 0.000
0.000 4.214 0.000
0.000 0.000 4.365
Mg Sc Mo
2 1 1
direct
0.000 0.500 0.000
0.500 0.000 0.000
0.000 0.000 0.500
0.500 0.500 0.500
```

Calculated values
- SG = P4/mmm
- final energy (eV per cell) = -19.4
- ΔE_f (eV per formula unit) = 1.000
- energy above the lowest structure with this stoichiometry (eV/atom) = 0.1159

***

7.
Mg2ScMo: relaxed, PBE-GGA.

```
Mg2ScMo
1.0
3.255 0.000 0.000
0.000 4.708 0.000
0.000 0.000 10.270
Mg Sc Mo
4 2 2
direct
0.000 0.000 0.233
0.000 0.000 0.767
0.500 0.500 0.267
0.500 0.500 0.733
0.000 0.500 0.000
0.500 0.000 0.500
0.000 0.500 0.500
0.500 0.000 0.000
```

Calculated values
- SG = Immm
- final energy (eV per cell) = -38.9
- ΔE_f (eV per formula unit) = 0.908
- energy above the lowest structure with this stoichiometry (eV/atom) = 0.0929

***

8.
Mg2ScMo: relaxed, PBE-GGA.

```
Mg2ScMo
1.0
3.988 0.000 0.000
0.000 3.988 0.000
0.000 0.000 21.114
Mg Sc Mo
8 4 4
direct
0.233 0.250 0.125
0.250 0.733 0.375
0.250 0.767 0.875
0.267 0.250 0.625
0.733 0.750 0.625
0.750 0.233 0.875
0.750 0.267 0.375
0.767 0.750 0.125
0.000 0.000 0.500
0.000 0.500 0.750
0.500 0.000 0.250
0.500 0.500 0.000
0.000 0.000 0.000
0.000 0.500 0.250
0.500 0.000 0.750
0.500 0.500 0.500
```

Calculated values
- SG = I-42d
- final energy (eV per cell) = -71.3
- ΔE_f (eV per formula unit) = 2.534
- energy above the lowest structure with this stoichiometry (eV/atom) = 0.4992

***

9.
Mg2ScMo: relaxed, PBE-GGA.

```
Mg2ScMo
1.0
3.078 0.000 0.000
0.000 5.161 0.000
0.000 0.000 9.980
Mg Sc Mo
4 2 2
direct
0.000 0.000 0.000
0.000 0.500 0.245
0.500 0.000 0.745
0.500 0.500 0.500
0.000 0.500 0.776
0.500 0.000 0.276
0.000 0.000 0.507
0.500 0.500 0.007
```

Calculated values
- SG = Imm2
- final energy (eV per cell) = -38.6
- ΔE_f (eV per formula unit) = 1.049
- energy above the lowest structure with this stoichiometry (eV/atom) = 0.1282

***

10.
Mg2ScMo: relaxed, PBE-GGA.

```
Mg2ScMo
1.0
4.163 0.000 0.000
0.000 4.163 0.000
0.000 0.000 8.944
Mg Sc Mo
4 2 2
direct
0.000 0.500 0.250
0.000 0.500 0.750
0.500 0.000 0.250
0.500 0.000 0.750
0.000 0.000 0.000
0.500 0.500 0.500
0.000 0.000 0.500
0.500 0.500 0.000
```

Calculated values
- SG = I4/mmm
- final energy (eV per cell) = -38.8
- ΔE_f (eV per formula unit) = 0.950
- energy above the lowest structure with this stoichiometry (eV/atom) = 0.1034

***

11.
MgSc2Mo: relaxed, PBE-GGA.

```
MgSc2Mo
1.0
4.453 0.000 0.000
0.000 4.453 0.000
0.000 0.000 4.041
Mg Sc Mo
1 2 1
direct
0.000 0.000 0.000
0.000 0.500 0.500
0.500 0.000 0.500
0.500 0.500 0.000
```

Calculated values
- SG = P4/mmm
- final energy (eV per cell) = -24.4
- ΔE_f (eV per formula unit) = 0.689

***

12.
Mg2ScMo: relaxed, PBE-GGA.

```
Mg2ScMo
1.0
2.901 0.000 0.000
0.000 2.901 0.000
0.000 0.000 9.476
Mg Sc Mo
2 1 1
direct
0.000 0.000 0.000
0.500 0.500 0.264
0.500 0.500 0.725
0.000 0.000 0.495
```

Calculated values
- SG = P4mm
- final energy (eV per cell) = -19.7
- ΔE_f (eV per formula unit) = 0.622
- energy above the lowest structure with this stoichiometry (eV/atom) = 0.0214

***

13.
MgSc2Mo: relaxed, PBE-GGA.

```
MgSc2Mo
1.0
3.149 0.000 0.000
-1.574 2.727 0.000
0.000 0.000 31.612
Mg Sc Mo
3 6 3
direct
0.000 0.000 0.000
0.333 0.667 0.667
0.667 0.333 0.333
0.000 0.000 0.099
0.000 0.000 0.901
0.333 0.667 0.567
0.333 0.667 0.766
0.667 0.333 0.234
0.667 0.333 0.433
0.000 0.000 0.500
0.333 0.667 0.167
0.667 0.333 0.833
```

Calculated values
- SG = R-3m
- final energy (eV per cell) = -71.3
- ΔE_f (eV per formula unit) = 1.337

***

14.
MgSc2Mo: relaxed, PBE-GGA.

```
MgSc2Mo
1.0
3.571 0.000 0.000
0.000 4.855 0.000
0.000 0.000 9.656
Mg Sc Mo
2 4 2
direct
0.000 0.000 0.000
0.500 0.500 0.000
0.000 0.500 0.282
0.000 0.500 0.718
0.500 0.000 0.282
0.500 0.000 0.718
0.000 0.000 0.500
0.500 0.500 0.500
```

Calculated values
- SG = Cmmm
- final energy (eV per cell) = -49.7
- ΔE_f (eV per formula unit) = 0.245

***

15.
Mg2ScMo: relaxed, PBE-GGA.

```
Mg2ScMo
1.0
3.070 0.000 0.000
-1.535 2.658 0.000
0.000 0.000 29.899
Mg Sc Mo
6 3 3
direct
0.000 0.000 0.000
0.000 0.000 0.244
0.333 0.667 0.667
0.333 0.667 0.910
0.667 0.333 0.333
0.667 0.333 0.577
0.000 0.000 0.487
0.333 0.667 0.153
0.667 0.333 0.820
0.000 0.000 0.745
0.333 0.667 0.411
0.667 0.333 0.078
```

Calculated values
- SG = R3m
- final energy (eV per cell) = -58.2
- ΔE_f (eV per formula unit) = 0.936
- energy above the lowest structure with this stoichiometry (eV/atom) = 0.0997

***

16.
MgSc2Mo2: relaxed, PBE-GGA.

```
MgSc2Mo2
1.0
7.424 0.000 0.000
0.000 7.424 0.000
0.000 0.000 3.702
Mg Sc Mo
2 4 4
direct
0.000 0.000 0.000
0.500 0.500 0.000
0.177 0.323 0.500
0.323 0.823 0.500
0.677 0.177 0.500
0.823 0.677 0.500
0.112 0.612 0.000
0.388 0.112 0.000
0.612 0.888 0.000
0.888 0.388 0.000
```

Calculated values
- SG = P4/mbm
- final energy (eV per cell) = -69.7
- ΔE_f (eV per formula unit) = 1.070

***

17.
MgSc2Mo: relaxed, PBE-GGA.

```
MgSc2Mo
1.0
2.982 0.000 0.000
0.000 4.485 0.000
0.000 0.000 6.085
Mg Sc Mo
1 2 1
direct
0.000 0.000 0.000
0.000 0.000 0.464
0.500 0.500 0.741
0.500 0.500 0.260
```

Calculated values
- SG = Pmm2
- final energy (eV per cell) = -24.3
- ΔE_f (eV per formula unit) = 0.831

***

18.
MgSc2Mo: relaxed, PBE-GGA.

```
MgSc2Mo
1.0
9.710 0.000 0.000
0.000 2.982 0.000
-0.784 0.000 5.631
Mg Sc Mo
2 4 2
direct
0.000 0.000 0.000
0.500 0.500 0.000
0.242 0.000 0.730
0.258 0.500 0.270
0.742 0.500 0.730
0.758 0.000 0.270
0.000 0.500 0.500
0.500 0.000 0.500
```

Calculated values
- SG = C2/m
- final energy (eV per cell) = -48.4
- ΔE_f (eV per formula unit) = 0.876

***

19.
MgSc2Mo: relaxed, PBE-GGA.

```
MgSc2Mo
1.0
4.129 0.000 0.000
0.000 4.129 0.000
0.000 0.000 19.824
Mg Sc Mo
4 8 4
direct
0.000 0.000 0.000
0.000 0.500 0.250
0.500 0.000 0.750
0.500 0.500 0.500
0.232 0.250 0.625
0.250 0.732 0.875
0.250 0.768 0.375
0.268 0.250 0.125
0.732 0.750 0.125
0.750 0.232 0.375
0.750 0.268 0.875
0.768 0.750 0.625
0.000 0.000 0.500
0.000 0.500 0.750
0.500 0.000 0.250
0.500 0.500 0.000
```

Calculated values
- SG = I-42d
- final energy (eV per cell) = -89.7
- ΔE_f (eV per formula unit) = 2.663

***

20.
MgSc2Mo: relaxed, PBE-GGA.

```
MgSc2Mo
1.0
6.813 0.000 0.000
0.000 6.813 0.000
0.000 0.000 6.813
Mg Sc Mo
4 8 4
direct
0.000 0.000 0.000
0.000 0.500 0.500
0.500 0.000 0.500
0.500 0.500 0.000
0.000 0.000 0.500
0.000 0.500 0.000
0.250 0.250 0.750
0.250 0.750 0.250
0.500 0.000 0.000
0.500 0.500 0.500
0.750 0.250 0.250
0.750 0.750 0.750
0.250 0.250 0.250
0.250 0.750 0.750
0.750 0.250 0.750
0.750 0.750 0.250
```

Calculated values
- SG = F-43m
- final energy (eV per cell) = -95.8
- ΔE_f (eV per formula unit) = 1.134

***

21.
MgSc2Mo: relaxed, PBE-GGA.

```
MgSc2Mo
1.0
2.959 0.000 0.000
0.000 5.045 0.000
-0.019 0.000 5.432
Mg Sc Mo
1 2 1
direct
0.000 0.000 0.000
0.496 0.500 0.818
0.502 0.000 0.475
0.997 0.500 0.330
```

Calculated values
- SG = Pm
- final energy (eV per cell) = -24.4
- ΔE_f (eV per formula unit) = 0.683

***

22.
Mg2ScMo: relaxed, PBE-GGA.

```
Mg2ScMo
1.0
3.851 0.000 0.000
0.000 4.265 0.000
0.000 0.000 9.520
Mg Sc Mo
4 2 2
direct
0.000 0.000 0.229
0.000 0.000 0.771
0.500 0.500 0.229
0.500 0.500 0.771
0.000 0.500 0.500
0.500 0.000 0.500
0.000 0.500 0.000
0.500 0.000 0.000
```

Calculated values
- SG = Cmmm
- final energy (eV per cell) = -38.8
- ΔE_f (eV per formula unit) = 0.957
- energy above the lowest structure with this stoichiometry (eV/atom) = 0.1050

***

23.
MgSc2Mo: relaxed, PBE-GGA.

```
MgSc2Mo
1.0
3.346 0.000 0.000
0.000 5.204 0.000
0.000 0.000 9.553
Mg Sc Mo
2 4 2
direct
0.000 0.000 0.000
0.500 0.500 0.500
0.000 0.500 0.222
0.000 0.500 0.778
0.500 0.000 0.278
0.500 0.000 0.722
0.000 0.000 0.500
0.500 0.500 0.000
```

Calculated values
- SG = Immm
- final energy (eV per cell) = -48.5
- ΔE_f (eV per formula unit) = 0.831

***

24.
MgSc2Mo: relaxed, PBE-GGA.

```
MgSc2Mo
1.0
3.074 0.000 0.000
-1.537 2.662 0.000
0.000 0.000 30.446
Mg Sc Mo
3 6 3
direct
0.000 0.000 0.000
0.333 0.667 0.667
0.667 0.333 0.333
0.000 0.000 0.243
0.000 0.000 0.485
0.333 0.667 0.152
0.333 0.667 0.910
0.667 0.333 0.577
0.667 0.333 0.818
0.000 0.000 0.743
0.333 0.667 0.410
0.667 0.333 0.077
```

Calculated values
- SG = R3m
- final energy (eV per cell) = -71.9
- ΔE_f (eV per formula unit) = 1.111

***

25.
Mg2ScMo: relaxed, PBE-GGA.

```
Mg2ScMo
1.0
6.808 0.000 0.000
0.000 6.808 0.000
0.000 0.000 6.808
Mg Sc Mo
8 4 4
direct
0.000 0.000 0.000
0.000 0.500 0.500
0.250 0.250 0.250
0.250 0.750 0.750
0.500 0.000 0.500
0.500 0.500 0.000
0.750 0.250 0.750
0.750 0.750 0.250
0.250 0.250 0.750
0.250 0.750 0.250
0.750 0.250 0.250
0.750 0.750 0.750
0.000 0.000 0.500
0.000 0.500 0.000
0.500 0.000 0.000
0.500 0.500 0.500
```

Calculated values
- SG = F-43m
- final energy (eV per cell) = -75.8
- ΔE_f (eV per formula unit) = 1.404
- energy above the lowest structure with this stoichiometry (eV/atom) = 0.2167

***

26.
MgSc2Mo: relaxed, PBE-GGA.

```
MgSc2Mo
1.0
3.183 0.000 0.000
-1.591 2.756 0.000
0.000 0.000 29.215
Mg Sc Mo
3 6 3
direct
0.000 0.000 0.000
0.333 0.667 0.667
0.667 0.333 0.333
0.000 0.000 0.240
0.000 0.000 0.760
0.333 0.667 0.427
0.333 0.667 0.907
0.667 0.333 0.093
0.667 0.333 0.573
0.000 0.000 0.500
0.333 0.667 0.167
0.667 0.333 0.833
```

Calculated values
- SG = R-3m
- final energy (eV per cell) = -73.0
- ΔE_f (eV per formula unit) = 0.749

***

27.
MgSc2Mo: relaxed, PBE-GGA.

```
MgSc2Mo
1.0
3.586 0.000 0.000
0.000 3.586 0.000
0.000 0.000 6.432
Mg Sc Mo
1 2 1
direct
0.000 0.000 0.000
0.000 0.000 0.436
0.500 0.500 0.716
0.500 0.500 0.257
```

Calculated values
- SG = P4mm
- final energy (eV per cell) = -24.2
- ΔE_f (eV per formula unit) = 0.912

***

28.
MgSc2Mo: relaxed, PBE-GGA.

```
MgSc2Mo
1.0
3.295 0.000 0.000
0.000 3.419 0.000
-0.021 0.000 7.502
Mg Sc Mo
1 2 1
direct
0.000 0.000 0.000
0.499 0.500 0.291
0.501 0.500 0.709
0.000 0.000 0.500
```

Calculated values
- SG = P2/m
- final energy (eV per cell) = -24.9
- ΔE_f (eV per formula unit) = 0.183

***

29.
MgSc2Mo: relaxed, PBE-GGA.

```
MgSc2Mo
1.0
10.184 0.000 0.000
0.000 2.991 0.000
-0.715 0.000 5.341
Mg Sc Mo
2 4 2
direct
0.000 0.000 0.000
0.500 0.500 0.000
0.247 0.000 0.773
0.475 0.000 0.465
0.747 0.500 0.773
0.975 0.500 0.465
0.232 0.500 0.282
0.732 0.000 0.282
```

Calculated values
- SG = Cm
- final energy (eV per cell) = -48.7
- ΔE_f (eV per formula unit) = 0.758

***

30.
Mg2ScMo: relaxed, PBE-GGA.

```
Mg2ScMo
1.0
6.775 0.000 0.000
0.000 6.775 0.000
0.000 0.000 6.775
Mg Sc Mo
8 4 4
direct
0.250 0.250 0.250
0.250 0.250 0.750
0.250 0.750 0.250
0.250 0.750 0.750
0.750 0.250 0.250
0.750 0.250 0.750
0.750 0.750 0.250
0.750 0.750 0.750
0.000 0.000 0.000
0.000 0.500 0.500
0.500 0.000 0.500
0.500 0.500 0.000
0.000 0.000 0.500
0.000 0.500 0.000
0.500 0.000 0.000
0.500 0.500 0.500
```

Calculated values
- SG = Fm-3m
- final energy (eV per cell) = -75.9
- ΔE_f (eV per formula unit) = 1.365
- energy above the lowest structure with this stoichiometry (eV/atom) = 0.2071